[1]
Below is a relaxed Y3HN crystal, with properties calculated at the PBE-GGA level.

Cell and atoms, written as POSCAR:
```
Y3HN
1.0
-0.467 -1.741 -4.414
-4.073 -2.128 1.270
-2.434 3.896 -1.279
Y H N
3 1 1
Cartesian
-1.217 1.948 -0.639
-0.233 -0.870 -2.207
-2.037 -1.064 0.635
-3.487 0.013 -2.211
0.000 0.000 0.000
```

Computed properties:
Symmetry ... Pm-3m (221)
Polymorph energy (0 for the lowest one) ... 0 meV/atom
Mass density ... 4.32 g cm⁻³
M_tot ... 0.00 μB/f.u.



[2]
Below is a relaxed LuBiAs2 crystal, with properties calculated at the PBE-GGA level.

Cell and atoms, written as POSCAR:
```
LuBiAs2
1.0
-0.456 2.256 -3.457
-0.147 -1.879 -3.701
-7.001 -0.414 -1.842
Bi Lu As
1 1 2
Cartesian
0.000 0.000 0.000
-3.802 -0.018 -4.500
-2.003 -0.017 -2.242
-5.601 -0.019 -6.758
```

Computed properties:
Energy relative to the elements ... -631 meV per atom
Symmetry ... R-3m (166)
Mass density ... 8.67 g cm⁻³
M_tot ... 0.00 μB/f.u.



[3]
Below is a relaxed Sm2In3Co9 crystal, with properties calculated at the PBE-GGA level.

Cell and atoms, written as POSCAR:
```
Sm2In3Co9
1.0
2.466 -11.308 0.000
2.466 11.308 0.000
0.000 0.000 4.075
Co In Sm
9 3 2
Cartesian
2.466 10.037 0.000
0.000 0.000 2.038
2.466 -10.037 0.000
3.688 2.064 2.038
3.688 -2.064 2.038
1.244 -2.064 2.038
2.466 2.591 0.000
2.466 -2.591 0.000
1.244 2.064 2.038
2.466 0.000 0.000
2.466 -4.560 2.038
2.466 4.560 2.038
2.466 -7.250 0.000
2.466 7.250 0.000
```

Computed properties:
Energy relative to the elements ... -55 meV per atom
Symmetry ... Cmmm (65)
Mass density ... 8.59 g cm⁻³
M_tot ... 12.22 μB/f.u.



[4]
Below is a relaxed CsYP2S8 crystal, with properties calculated at the PBE-GGA level.

Cell and atoms, written as POSCAR:
```
CsYP2S8
1.0
6.241 0.000 0.000
-3.121 5.405 0.000
0.000 0.000 9.898
S Y P Cs
8 1 2 1
Cartesian
3.953 0.014 3.368
-0.832 5.391 6.530
1.964 3.430 6.530
-1.132 1.989 6.530
0.000 3.603 9.132
1.156 1.975 3.368
4.253 3.416 3.368
3.121 1.802 0.766
0.000 0.000 4.949
0.000 3.603 7.106
3.121 1.802 2.792
0.000 0.000 0.000
```

Computed properties:
Raw formation energy ... -0.604 eV per atom
Symmetry ... P-3 (147)
Mass density ... 2.69 g cm⁻³
M_tot ... 2.05 μB/f.u.



[5]
Below is a relaxed Th2CdSb crystal, with properties calculated at the PBE-GGA level.

Cell and atoms, written as POSCAR:
```
Th2CdSb
1.0
-3.083 -1.386 0.642
-0.244 -2.821 1.954
-2.150 5.400 10.552
Th Sb Cd
2 1 1
Cartesian
-3.605 -2.391 5.181
-1.872 3.585 7.967
0.000 0.000 0.000
-2.739 0.597 6.574
```

Computed properties:
Raw formation energy ... 0.047 eV per atom
Symmetry ... R-3m (166)
Polymorph energy (0 for the lowest one) ... 479 meV/atom
Mass density ... 9.52 g cm⁻³
M_tot ... 0.00 μB/f.u.



[6]
Below is a relaxed FeC7 crystal, with properties calculated at the PBE-GGA level.

Cell and atoms, written as POSCAR:
```
FeC7
1.0
1.214 -3.880 -1.562
-2.906 -3.229 -0.309
-1.396 -1.306 -3.913
Fe C
1 7
Cartesian
0.000 0.000 0.000
-2.151 -2.268 -2.111
-1.544 -4.208 -2.892
-1.453 -1.615 -0.155
-0.846 -3.555 -0.935
0.607 -1.940 -0.781
-0.698 -0.653 -1.957
-0.091 -2.593 -2.737
```

Computed properties:
Energy relative to the elements ... 3632 meV per atom
Symmetry ... Fm-3m (225)
Mass density ... 3.98 g cm⁻³
M_tot ... 1.46 μB/f.u.